[1]
DFT (GGA-PBE) results for crystalline LaGdIn at its relaxed geometry.

Cell: 4.005 4.005 6.496 Å, 107.95 107.95 90.00°
Fractional positions:
Gd  0.315  0.315  0.629
La  0.010  0.010  0.020
In  0.675  0.675  0.351

Values from the calculation:
Formation energy, eV per atom: -0.313
Excess energy over the best structure of this formula in the dataset, meV per atom: 0

***

[2]
DFT (GGA-PBE) results for crystalline LiLaGdIn at its relaxed geometry.

Cell: 5.442 5.442 5.442 Å, 60.00 60.00 60.00°
Fractional positions:
Li  0.500  0.500  0.500
In  0.000  0.000  0.000
La  0.250  0.250  0.250
Gd  0.750  0.750  0.750

Values from the calculation:
Formation energy, eV per atom: -0.272

***

[3]
DFT (GGA-PBE) results for crystalline LaGdMgIn at its relaxed geometry.

Cell: 5.480 5.480 5.480 Å, 60.00 60.00 60.00°
Fractional positions:
In  0.500  0.500  0.500
Mg  0.000  0.000  0.000
Gd  0.250  0.250  0.250
La  0.750  0.750  0.750

Values from the calculation:
Formation energy, eV per atom: -0.332

***

[4]
DFT (GGA-PBE) results for crystalline LaNdGdIn at its relaxed geometry.

Cell: 5.617 5.617 5.617 Å, 60.00 60.00 60.00°
Fractional positions:
In  0.250  0.250  0.250
La  0.000  0.000  0.000
Gd  0.750  0.750  0.750
Nd  0.500  0.500  0.500

Values from the calculation:
Formation energy, eV per atom: -0.189

***

[5]
DFT (GGA-PBE) results for crystalline LaGdInNi at its relaxed geometry.

Cell: 5.265 5.265 5.265 Å, 60.00 60.00 60.00°
Fractional positions:
In  0.750  0.750  0.750
Ni  0.250  0.250  0.250
La  0.500  0.500  0.500
Gd  0.000  0.000  0.000

Values from the calculation:
Formation energy, eV per atom: -0.255

***

[6]
DFT (GGA-PBE) results for crystalline LaGdInPb at its relaxed geometry.

Cell: 5.539 5.539 5.539 Å, 60.00 60.00 60.00°
Fractional positions:
Pb  0.750  0.750  0.750
Gd  0.000  0.000  0.000
In  0.250  0.250  0.250
La  0.500  0.500  0.500

Values from the calculation:
Formation energy, eV per atom: -0.479

***

[7]
DFT (GGA-PBE) results for crystalline LaPrGdIn at its relaxed geometry.

Cell: 5.633 5.633 5.633 Å, 60.00 60.00 60.00°
Fractional positions:
Gd  0.750  0.750  0.750
Pr  0.500  0.500  0.500
La  0.000  0.000  0.000
In  0.250  0.250  0.250

Values from the calculation:
Formation energy, eV per atom: -0.190

***

[8]
DFT (GGA-PBE) results for crystalline LaGdInPt at its relaxed geometry.

Cell: 5.293 5.293 5.293 Å, 60.00 60.00 60.00°
Fractional positions:
In  0.750  0.750  0.750
Pt  0.250  0.250  0.250
Gd  0.000  0.000  0.000
La  0.500  0.500  0.500

Values from the calculation:
Formation energy, eV per atom: -0.683

***

[9]
DFT (GGA-PBE) results for crystalline LaGdInRu at its relaxed geometry.

Cell: 5.217 5.217 5.217 Å, 60.00 60.00 60.00°
Fractional positions:
In  0.750  0.750  0.750
Gd  0.500  0.500  0.500
La  0.000  0.000  0.000
Ru  0.250  0.250  0.250

Values from the calculation:
Formation energy, eV per atom: -0.239

***

[10]
DFT (GGA-PBE) results for crystalline LaGdScIn at its relaxed geometry.

Cell: 5.467 5.467 5.467 Å, 60.00 60.00 60.00°
Fractional positions:
Gd  0.250  0.250  0.250
Sc  0.000  0.000  0.000
La  0.750  0.750  0.750
In  0.500  0.500  0.500

Values from the calculation:
Formation energy, eV per atom: -0.186

***

[11]
DFT (GGA-PBE) results for crystalline LaGdInSn at its relaxed geometry.

Cell: 5.488 5.488 5.488 Å, 60.00 60.00 60.00°
Fractional positions:
Sn  0.250  0.250  0.250
Gd  0.000  0.000  0.000
La  0.500  0.500  0.500
In  0.750  0.750  0.750

Values from the calculation:
Formation energy, eV per atom: -0.567

***

[12]
DFT (GGA-PBE) results for crystalline LaTbGdIn at its relaxed geometry.

Cell: 5.560 5.560 5.560 Å, 60.00 60.00 60.00°
Fractional positions:
La  0.500  0.500  0.500
Tb  0.000  0.000  0.000
In  0.250  0.250  0.250
Gd  0.750  0.750  0.750

Values from the calculation:
Formation energy, eV per atom: -0.178

***

[13]
DFT (GGA-PBE) results for crystalline LaGdThIn at its relaxed geometry.

Cell: 5.577 5.577 5.577 Å, 60.00 60.00 60.00°
Fractional positions:
La  0.750  0.750  0.750
Th  0.500  0.500  0.500
Gd  0.250  0.250  0.250
In  0.000  0.000  0.000

Values from the calculation:
Formation energy, eV per atom: -0.052

***

[14]
DFT (GGA-PBE) results for crystalline LaGdTmIn at its relaxed geometry.

Cell: 5.527 5.527 5.527 Å, 60.00 60.00 60.00°
Fractional positions:
Gd  0.250  0.250  0.250
La  0.000  0.000  0.000
Tm  0.500  0.500  0.500
In  0.750  0.750  0.750

Values from the calculation:
Formation energy, eV per atom: -0.159

***

[15]
DFT (GGA-PBE) results for crystalline LaGdZnIn at its relaxed geometry.

Cell: 5.377 5.377 5.377 Å, 60.00 60.00 60.00°
Fractional positions:
La  0.000  0.000  0.000
In  0.250  0.250  0.250
Gd  0.500  0.500  0.500
Zn  0.750  0.750  0.750

Values from the calculation:
Formation energy, eV per atom: -0.405

***

[16]
DFT (GGA-PBE) results for crystalline LiGdIn at its relaxed geometry.

Cell: 3.539 3.539 6.294 Å, 106.33 106.33 90.00°
Fractional positions:
Gd  0.947  0.947  0.895
Li  0.642  0.642  0.284
In  0.261  0.261  0.521

Values from the calculation:
Formation energy, eV per atom: -0.236

***

[17]
DFT (GGA-PBE) results for crystalline Li2GdIn at its relaxed geometry.

Cell: 3.650 3.650 6.811 Å, 90.00 90.00 90.00°
Fractional positions:
In  0.500  0.500  0.000
Li  0.000  0.000  0.207
Li  0.000  0.000  0.793
Gd  0.500  0.500  0.500

Values from the calculation:
Formation energy, eV per atom: -0.104
Excess energy over the best structure of this formula in the dataset, meV per atom: 186

***

[18]
DFT (GGA-PBE) results for crystalline Li2GdIn at its relaxed geometry.

Cell: 4.679 4.540 4.540 Å, 90.00 90.00 90.00°
Fractional positions:
In  0.500  0.500  0.500
Gd  0.500  0.000  0.000
Li  0.000  0.500  0.000
Li  0.000  0.000  0.500

Values from the calculation:
Formation energy, eV per atom: -0.124
Excess energy over the best structure of this formula in the dataset, meV per atom: 166

***

[19]
DFT (GGA-PBE) results for crystalline Li2GdIn at its relaxed geometry.

Cell: 4.881 4.881 4.881 Å, 60.00 60.00 60.00°
Fractional positions:
Gd  0.500  0.500  0.500
In  0.000  0.000  0.000
Li  0.750  0.750  0.750
Li  0.250  0.250  0.250

Values from the calculation:
Formation energy, eV per atom: -0.290
Excess energy over the best structure of this formula in the dataset, meV per atom: 0

***

[20]
DFT (GGA-PBE) results for crystalline LiGdIn2 at its relaxed geometry.

Cell: 5.167 5.167 5.167 Å, 60.00 60.00 60.00°
Fractional positions:
Li  0.250  0.250  0.250
In  0.000  0.000  0.000
In  0.500  0.500  0.500
Gd  0.750  0.750  0.750

Values from the calculation:
Formation energy, eV per atom: -0.388

***

Calculated values (μB/cell) of size of the total moment for the records, taken in order: 8.45 7.87 7.65 8.23 7.11 7.21 8.17 7.07 7.00 8.33 7.24 8.39 7.86 8.39 7.98 8.07 7.63 8.36 7.18 6.99.
Calculated values (eV/atom) of energy for the records, taken in order: -7.56 -6.19 -6.17 -6.82 -7.14 -6.84 -6.82 -7.63 -7.99 -7.21 -7.00 -6.77 -7.34 -6.71 -6.16 -6.48 -5.27 -5.29 -5.45 -5.76.